# LiHoHf (PBE-GGA, relaxed)
data_LiHoHf
_chemical_formula_sum 'Li1 Ho1 Hf1'
_cell_length_a 4.9272
_cell_length_b 4.9272
_cell_length_c 4.9272
_cell_angle_alpha 60.00
_cell_angle_beta 60.00
_cell_angle_gamma 60.00
_symmetry_space_group_name_H-M 'P 1'
_symmetry_Int_Tables_number 1
loop_
_symmetry_equiv_pos_as_xyz
'x,y,z'
loop_
_atom_site_label
_atom_site_fract_x
_atom_site_fract_y
_atom_site_fract_z
Hf1 0.0000 0.0000 0.0000
Ho1 0.2500 0.2500 0.2500
Li1 0.7500 0.7500 0.7500
# - space group = F-43m (216)
# - offset from the most stable computed form (meV per atom) = 0
# - spin magnetization (μB/cell) = 0.47



# ZnCdSO (PBE-GGA, relaxed)
data_ZnCdSO
_chemical_formula_sum 'Zn2 Cd2 S2 O2'
_cell_length_a 3.8628
_cell_length_b 3.8628
_cell_length_c 8.9603
_cell_angle_alpha 90.00
_cell_angle_beta 90.00
_cell_angle_gamma 90.00
_symmetry_space_group_name_H-M 'P 1'
_symmetry_Int_Tables_number 1
loop_
_symmetry_equiv_pos_as_xyz
'x,y,z'
loop_
_atom_site_label
_atom_site_fract_x
_atom_site_fract_y
_atom_site_fract_z
O1 0.2500 0.7500 0.5000
S1 0.2500 0.2500 0.1587
Cd1 0.2500 0.2500 0.8497
O2 0.7500 0.2500 0.5000
S2 0.7500 0.7500 0.8413
Zn1 0.2500 0.2500 0.4360
Zn2 0.7500 0.7500 0.5640
Cd2 0.7500 0.7500 0.1503
# - space group = P4/nmm (129)
# - offset from the most stable computed form (meV per atom) = 168



# AlFe2W (PBE-GGA, relaxed)
data_AlFe2W
_chemical_formula_sum 'Al2 Fe4 W2'
_cell_length_a 3.9681
_cell_length_b 3.9681
_cell_length_c 7.5854
_cell_angle_alpha 90.00
_cell_angle_beta 90.00
_cell_angle_gamma 120.00
_symmetry_space_group_name_H-M 'P 1'
_symmetry_Int_Tables_number 1
loop_
_symmetry_equiv_pos_as_xyz
'x,y,z'
loop_
_atom_site_label
_atom_site_fract_x
_atom_site_fract_y
_atom_site_fract_z
Fe1 0.3333 0.6667 0.8975
W1 0.6667 0.3333 0.7500
Al1 0.0000 0.0000 0.0000
Fe2 0.6667 0.3333 0.1025
Al2 0.0000 0.0000 0.5000
W2 0.3333 0.6667 0.2500
Fe3 0.6667 0.3333 0.3975
Fe4 0.3333 0.6667 0.6025
# - space group = P6_3/mmc (194)
# - spin magnetization (μB/cell) = 0.01



# Tm3Ga3GePd2 (PBE-GGA, relaxed)
data_Tm3Ga3GePd2
_chemical_formula_sum 'Tm3 Ga3 Ge1 Pd2'
_cell_length_a 7.3844
_cell_length_b 7.3844
_cell_length_c 3.7413
_cell_angle_alpha 90.00
_cell_angle_beta 90.00
_cell_angle_gamma 120.00
_symmetry_space_group_name_H-M 'P 1'
_symmetry_Int_Tables_number 1
loop_
_symmetry_equiv_pos_as_xyz
'x,y,z'
loop_
_atom_site_label
_atom_site_fract_x
_atom_site_fract_y
_atom_site_fract_z
Ga1 0.2702 0.2702 0.0000
Tm1 0.3958 0.0000 0.5000
Tm2 0.0000 0.3958 0.5000
Ge1 0.0000 0.0000 0.5000
Pd1 0.3333 0.6667 0.0000
Pd2 0.6667 0.3333 0.0000
Tm3 0.6042 0.6042 0.5000
Ga2 0.7298 0.0000 0.0000
Ga3 0.0000 0.7298 0.0000
# - space group = P-62m (189)
# - offset from the most stable computed form (meV per atom) = 0
# - spin magnetization (μB/cell) = 0.00



# CdBi (PBE-GGA, relaxed)
data_CdBi
_chemical_formula_sum 'Cd2 Bi2'
_cell_length_a 6.0728
_cell_length_b 4.2830
_cell_length_c 4.5461
_cell_angle_alpha 90.00
_cell_angle_beta 90.00
_cell_angle_gamma 110.65
_symmetry_space_group_name_H-M 'P 1'
_symmetry_Int_Tables_number 1
loop_
_symmetry_equiv_pos_as_xyz
'x,y,z'
loop_
_atom_site_label
_atom_site_fract_x
_atom_site_fract_y
_atom_site_fract_z
Cd1 0.1720 0.5860 0.2500
Cd2 0.8280 0.4140 0.7500
Bi1 0.7102 0.8551 0.2500
Bi2 0.2898 0.1449 0.7500
# - space group = Cmcm (63)



# LiAuS18 (PBE-GGA, relaxed)
data_LiAuS18
_chemical_formula_sum 'Li1 Au1 S18'
_cell_length_a 6.5198
_cell_length_b 9.4063
_cell_length_c 9.8947
_cell_angle_alpha 74.01
_cell_angle_beta 86.02
_cell_angle_gamma 72.55
_symmetry_space_group_name_H-M 'P 1'
_symmetry_Int_Tables_number 1
loop_
_symmetry_equiv_pos_as_xyz
'x,y,z'
loop_
_atom_site_label
_atom_site_fract_x
_atom_site_fract_y
_atom_site_fract_z
S1 0.6890 0.7166 0.6750
S2 0.3110 0.2834 0.3250
S3 0.1028 0.6675 0.1786
S4 0.9531 0.7413 0.5411
S5 0.0504 0.1882 0.9896
S6 0.4562 0.7249 0.1570
S7 0.8006 0.5628 0.8604
Li1 0.5000 0.0000 0.0000
S8 0.6166 0.0931 0.7654
S9 0.6605 0.5314 0.2821
S10 0.0469 0.2587 0.4589
S11 0.0856 0.8953 0.5758
S12 0.5438 0.2751 0.8430
S13 0.9496 0.8118 0.0104
Au1 0.5000 0.5000 0.5000
S14 0.1994 0.4372 0.1396
S15 0.8972 0.3325 0.8214
S16 0.3395 0.4686 0.7179
S17 0.3834 0.9069 0.2346
S18 0.9144 0.1047 0.4242
# - space group = P-1 (2)



# ScTc2Ge (PBE-GGA, relaxed)
data_ScTc2Ge
_chemical_formula_sum 'Sc1 Tc2 Ge1'
_cell_length_a 4.4636
_cell_length_b 4.4636
_cell_length_c 4.4636
_cell_angle_alpha 60.00
_cell_angle_beta 60.00
_cell_angle_gamma 60.00
_symmetry_space_group_name_H-M 'P 1'
_symmetry_Int_Tables_number 1
loop_
_symmetry_equiv_pos_as_xyz
'x,y,z'
loop_
_atom_site_label
_atom_site_fract_x
_atom_site_fract_y
_atom_site_fract_z
Sc1 0.2500 0.2500 0.2500
Tc1 0.7500 0.7500 0.7500
Tc2 0.0000 0.0000 0.0000
Ge1 0.5000 0.5000 0.5000
# - space group = F-43m (216)
# - spin magnetization (μB/cell) = 0.02



# LaSmGa2Pd4 (PBE-GGA, relaxed)
data_LaSmGa2Pd4
_chemical_formula_sum 'La1 Sm1 Ga2 Pd4'
_cell_length_a 4.4586
_cell_length_b 4.4586
_cell_length_c 9.4080
_cell_angle_alpha 90.00
_cell_angle_beta 90.00
_cell_angle_gamma 120.00
_symmetry_space_group_name_H-M 'P 1'
_symmetry_Int_Tables_number 1
loop_
_symmetry_equiv_pos_as_xyz
'x,y,z'
loop_
_atom_site_label
_atom_site_fract_x
_atom_site_fract_y
_atom_site_fract_z
Pd1 0.3333 0.6667 0.8185
Pd2 0.3333 0.6667 0.1815
Sm1 0.3333 0.6667 0.5000
Pd3 0.0000 0.0000 0.3301
Ga1 0.6667 0.3333 0.2573
Ga2 0.6667 0.3333 0.7427
La1 0.0000 0.0000 0.0000
Pd4 0.0000 0.0000 0.6699
# - space group = P-6m2 (187)
# - spin magnetization (μB/cell) = 0.00



# Al3InCu2 (PBE-GGA, relaxed)
data_Al3InCu2
_chemical_formula_sum 'Al3 In1 Cu2'
_cell_length_a 4.1780
_cell_length_b 4.1780
_cell_length_c 5.9059
_cell_angle_alpha 90.00
_cell_angle_beta 90.00
_cell_angle_gamma 90.00
_symmetry_space_group_name_H-M 'P 1'
_symmetry_Int_Tables_number 1
loop_
_symmetry_equiv_pos_as_xyz
'x,y,z'
loop_
_atom_site_label
_atom_site_fract_x
_atom_site_fract_y
_atom_site_fract_z
Cu1 0.5000 0.0000 0.2680
In1 0.5000 0.5000 0.0000
Al1 0.0000 0.0000 0.0000
Cu2 0.0000 0.5000 0.7320
Al2 0.5000 0.5000 0.5000
Al3 0.0000 0.0000 0.5000
# - space group = P-4m2 (115)



# GaFeBi (PBE-GGA, relaxed)
data_GaFeBi
_chemical_formula_sum 'Ga1 Fe1 Bi1'
_cell_length_a 4.4381
_cell_length_b 4.4381
_cell_length_c 4.4381
_cell_angle_alpha 60.00
_cell_angle_beta 60.00
_cell_angle_gamma 60.00
_symmetry_space_group_name_H-M 'P 1'
_symmetry_Int_Tables_number 1
loop_
_symmetry_equiv_pos_as_xyz
'x,y,z'
loop_
_atom_site_label
_atom_site_fract_x
_atom_site_fract_y
_atom_site_fract_z
Fe1 0.0000 0.0000 0.0000
Bi1 0.2500 0.2500 0.2500
Ga1 0.7500 0.7500 0.7500
# - space group = F-43m (216)
# - offset from the most stable computed form (meV per atom) = 0
# - spin magnetization (μB/cell) = 1.90



# GdZrNi4 (PBE-GGA, relaxed)
data_GdZrNi4
_chemical_formula_sum 'Gd1 Zr1 Ni4'
_cell_length_a 5.0041
_cell_length_b 5.0041
_cell_length_c 5.0041
_cell_angle_alpha 60.00
_cell_angle_beta 60.00
_cell_angle_gamma 60.00
_symmetry_space_group_name_H-M 'P 1'
_symmetry_Int_Tables_number 1
loop_
_symmetry_equiv_pos_as_xyz
'x,y,z'
loop_
_atom_site_label
_atom_site_fract_x
_atom_site_fract_y
_atom_site_fract_z
Ni1 0.3757 0.3757 0.8729
Gd1 0.0000 0.0000 0.0000
Zr1 0.7500 0.7500 0.7500
Ni2 0.3757 0.8729 0.3757
Ni3 0.3757 0.3757 0.3757
Ni4 0.8729 0.3757 0.3757
# - space group = F-43m (216)
# - calculated formation energy (eV/atom) = -0.37
# - spin magnetization (μB/cell) = 0.00



# PuPb (PBE-GGA, relaxed)
data_PuPb
_chemical_formula_sum 'Pu1 Pb1'
_cell_length_a 3.4915
_cell_length_b 3.4916
_cell_length_c 5.4758
_cell_angle_alpha 90.00
_cell_angle_beta 90.00
_cell_angle_gamma 120.00
_symmetry_space_group_name_H-M 'P 1'
_symmetry_Int_Tables_number 1
loop_
_symmetry_equiv_pos_as_xyz
'x,y,z'
loop_
_atom_site_label
_atom_site_fract_x
_atom_site_fract_y
_atom_site_fract_z
Pu1 0.3334 0.6667 0.2500
Pb1 0.6666 0.3333 0.7500
# - space group = P-6m2 (187)
# - spin magnetization (μB/cell) = 6.15



# LiGaFe2Ir4 (PBE-GGA, relaxed)
data_LiGaFe2Ir4
_chemical_formula_sum 'Li1 Ga1 Fe2 Ir4'
_cell_length_a 4.2370
_cell_length_b 4.2370
_cell_length_c 5.9672
_cell_angle_alpha 90.00
_cell_angle_beta 90.00
_cell_angle_gamma 90.00
_symmetry_space_group_name_H-M 'P 1'
_symmetry_Int_Tables_number 1
loop_
_symmetry_equiv_pos_as_xyz
'x,y,z'
loop_
_atom_site_label
_atom_site_fract_x
_atom_site_fract_y
_atom_site_fract_z
Ga1 0.0000 0.0000 0.5000
Ir1 0.0000 0.5000 0.7545
Li1 0.5000 0.5000 0.0000
Fe1 0.5000 0.5000 0.5000
Ir2 0.5000 0.0000 0.2455
Ir3 0.5000 0.0000 0.7545
Fe2 0.0000 0.0000 0.0000
Ir4 0.0000 0.5000 0.2455
# - space group = P4/mmm (123)
# - spin magnetization (μB/cell) = 8.16



# SrSb12Os4 (PBE-GGA, relaxed)
data_SrSb12Os4
_chemical_formula_sum 'Sr1 Sb12 Os4'
_cell_length_a 8.1681
_cell_length_b 8.1681
_cell_length_c 8.1681
_cell_angle_alpha 109.47
_cell_angle_beta 109.47
_cell_angle_gamma 109.47
_symmetry_space_group_name_H-M 'P 1'
_symmetry_Int_Tables_number 1
loop_
_symmetry_equiv_pos_as_xyz
'x,y,z'
loop_
_atom_site_label
_atom_site_fract_x
_atom_site_fract_y
_atom_site_fract_z
Sb1 0.1581 0.8166 0.6585
Sb2 0.8419 0.5005 0.6585
Sb3 0.8166 0.6585 0.1581
Sb4 0.6585 0.8419 0.5005
Sb5 0.5005 0.6585 0.8419
Os1 0.5000 0.0000 0.0000
Sb6 0.4995 0.3415 0.1581
Sb7 0.6585 0.1581 0.8166
Os2 0.5000 0.5000 0.5000
Os3 0.0000 0.5000 0.0000
Sr1 0.0000 0.0000 0.0000
Sb8 0.8419 0.1834 0.3415
Os4 0.0000 0.0000 0.5000
Sb9 0.3415 0.8419 0.1834
Sb10 0.1834 0.3415 0.8419
Sb11 0.3415 0.1581 0.4995
Sb12 0.1581 0.4995 0.3415
# - space group = Im-3 (204)
# - spin magnetization (μB/cell) = 0.01



# Zr2Al2Cu3Ni (PBE-GGA, relaxed)
data_Zr2Al2Cu3Ni
_chemical_formula_sum 'Zr2 Al2 Cu3 Ni1'
_cell_length_a 4.2082
_cell_length_b 4.2082
_cell_length_c 8.0159
_cell_angle_alpha 90.00
_cell_angle_beta 90.00
_cell_angle_gamma 120.00
_symmetry_space_group_name_H-M 'P 1'
_symmetry_Int_Tables_number 1
loop_
_symmetry_equiv_pos_as_xyz
'x,y,z'
loop_
_atom_site_label
_atom_site_fract_x
_atom_site_fract_y
_atom_site_fract_z
Zr1 0.6667 0.3333 0.2456
Cu1 0.6667 0.3333 0.5886
Zr2 0.0000 0.0000 0.7527
Al1 0.3333 0.6667 0.0044
Cu2 0.0000 0.0000 0.4113
Cu3 0.6667 0.3333 0.9133
Al2 0.3333 0.6667 0.5028
Ni1 0.0000 0.0000 0.0814
# - space group = P3m1 (156)
# - spin magnetization (μB/cell) = 0.00



# Mo2As (PBE-GGA, relaxed)
data_Mo2As
_chemical_formula_sum 'Mo4 As2'
_cell_length_a 5.2442
_cell_length_b 5.2442
_cell_length_c 5.2442
_cell_angle_alpha 60.00
_cell_angle_beta 60.00
_cell_angle_gamma 60.00
_symmetry_space_group_name_H-M 'P 1'
_symmetry_Int_Tables_number 1
loop_
_symmetry_equiv_pos_as_xyz
'x,y,z'
loop_
_atom_site_label
_atom_site_fract_x
_atom_site_fract_y
_atom_site_fract_z
As1 0.2500 0.2500 0.2500
As2 0.0000 0.0000 0.0000
Mo1 0.6250 0.6250 0.6250
Mo2 0.6250 0.6250 0.1250
Mo3 0.6250 0.1250 0.6250
Mo4 0.1250 0.6250 0.6250
# - space group = Fd-3m (227)
# - offset from the most stable computed form (meV per atom) = 321
# - spin magnetization (μB/cell) = 0.00



# NaAgNO (PBE-GGA, relaxed)
data_NaAgNO
_chemical_formula_sum 'Na2 Ag2 N2 O2'
_cell_length_a 3.7756
_cell_length_b 5.7139
_cell_length_c 5.7620
_cell_angle_alpha 90.00
_cell_angle_beta 90.00
_cell_angle_gamma 90.00
_symmetry_space_group_name_H-M 'P 1'
_symmetry_Int_Tables_number 1
loop_
_symmetry_equiv_pos_as_xyz
'x,y,z'
loop_
_atom_site_label
_atom_site_fract_x
_atom_site_fract_y
_atom_site_fract_z
Ag1 0.5000 0.9818 0.2087
Ag2 0.5000 0.4818 0.7913
Na1 0.0000 0.4887 0.2832
Na2 0.0000 0.9887 0.7168
O1 0.5000 0.3462 0.1418
N1 0.0000 0.4373 0.7141
N2 0.0000 0.9373 0.2859
O2 0.5000 0.8462 0.8582
# - space group = Pmc2_1 (26)
# - offset from the most stable computed form (meV per atom) = 49



# Fe2SiBi (PBE-GGA, relaxed)
data_Fe2SiBi
_chemical_formula_sum 'Fe8 Si4 Bi4'
_cell_length_a 6.3451
_cell_length_b 6.3451
_cell_length_c 6.3451
_cell_angle_alpha 90.00
_cell_angle_beta 90.00
_cell_angle_gamma 90.00
_symmetry_space_group_name_H-M 'P 1'
_symmetry_Int_Tables_number 1
loop_
_symmetry_equiv_pos_as_xyz
'x,y,z'
loop_
_atom_site_label
_atom_site_fract_x
_atom_site_fract_y
_atom_site_fract_z
Si1 0.5000 0.5000 0.0000
Fe1 0.2936 0.7064 0.2936
Bi1 0.0000 0.5000 0.0000
Fe2 0.7064 0.7064 0.7064
Bi2 0.5000 0.0000 0.0000
Fe3 0.2936 0.7064 0.7064
Bi3 0.0000 0.0000 0.5000
Bi4 0.0000 0.0000 0.0000
Fe4 0.7064 0.7064 0.2936
Fe5 0.2936 0.2936 0.2936
Si2 0.5000 0.5000 0.5000
Si3 0.0000 0.5000 0.5000
Fe6 0.7064 0.2936 0.2936
Fe7 0.7064 0.2936 0.7064
Fe8 0.2936 0.2936 0.7064
Si4 0.5000 0.0000 0.5000
# - space group = Pm-3m (221)
# - spin magnetization (μB/cell) = 16.46



# InAg2Os (PBE-GGA, relaxed)
data_InAg2Os
_chemical_formula_sum 'In1 Ag2 Os1'
_cell_length_a 4.6074
_cell_length_b 4.6074
_cell_length_c 4.6074
_cell_angle_alpha 60.00
_cell_angle_beta 60.00
_cell_angle_gamma 60.00
_symmetry_space_group_name_H-M 'P 1'
_symmetry_Int_Tables_number 1
loop_
_symmetry_equiv_pos_as_xyz
'x,y,z'
loop_
_atom_site_label
_atom_site_fract_x
_atom_site_fract_y
_atom_site_fract_z
Ag1 0.7500 0.7500 0.7500
In1 0.5000 0.5000 0.5000
Ag2 0.0000 0.0000 0.0000
Os1 0.2500 0.2500 0.2500
# - space group = F-43m (216)
# - spin magnetization (μB/cell) = 0.00



# CsPrPbSe3 (PBE-GGA, relaxed)
data_CsPrPbSe3
_chemical_formula_sum 'Cs2 Pr2 Pb2 Se6'
_cell_length_a 8.6339
_cell_length_b 8.6339
_cell_length_c 12.3819
_cell_angle_alpha 90.00
_cell_angle_beta 90.00
_cell_angle_gamma 150.48
_symmetry_space_group_name_H-M 'P 1'
_symmetry_Int_Tables_number 1
loop_
_symmetry_equiv_pos_as_xyz
'x,y,z'
loop_
_atom_site_label
_atom_site_fract_x
_atom_site_fract_y
_atom_site_fract_z
Pb1 0.5887 0.4113 0.7500
Se1 0.9767 0.0233 0.7500
Se2 0.6202 0.3798 0.9847
Pb2 0.4113 0.5887 0.2500
Cs1 0.2949 0.7051 0.7500
Se3 0.3798 0.6202 0.0153
Se4 0.3798 0.6202 0.4847
Se5 0.0233 0.9767 0.2500
Cs2 0.7051 0.2949 0.2500
Pr1 0.0000 0.0000 0.5000
Pr2 0.0000 0.0000 0.0000
Se6 0.6202 0.3798 0.5153
# - space group = Cmcm (63)
# - offset from the most stable computed form (meV per atom) = 83
# - spin magnetization (μB/cell) = 0.01



Quick rundown of DFT total energy, same order as above: -4.295 -3.578 -8.371 -4.956 -2.371 -3.907 -8.039 -5.407 -3.652 -4.838 -6.283 -9.053 -7.304 -5.801 -5.584 -8.234 -3.797 -6.256 -4.385 -4.506 eV/atom